K2NiF6: optimized geometry, PBE with a Hubbard U.

Output
Uncorrected energy = -70.5 eV for the cell shown

a b c (Å): 5.6995 7.4378 7.6914
angles (deg): 90.00 119.00 90.00
Closest atoms and distances in Å follow each position.
Atoms (fractional coordinates):
K 0.1824 0.0684 0.3176  8 F 2.66-2.96
K 0.1824 0.4316 0.8176  8 F 2.66-2.96
K 0.8176 0.5684 0.1824  8 F 2.66-2.96
K 0.8176 0.9316 0.6824  8 F 2.66-2.96
Ni 0.5000 0.0000 0.0000  6 F 1.80-1.81
Ni 0.5000 0.5000 0.5000  6 F 1.80-1.81
F 0.2120 0.1137 0.9857  1 Ni 1.80
F 0.2120 0.3863 0.4857  1 Ni 1.80
F 0.3275 0.7128 0.4585  1 Ni 1.81
F 0.3275 0.7872 0.9585  1 Ni 1.81
F 0.3572 0.0283 0.7344  1 Ni 1.81
F 0.3572 0.4717 0.2344  1 Ni 1.81
F 0.6428 0.5283 0.7656  1 Ni 1.81
F 0.6428 0.9717 0.2656  1 Ni 1.81
F 0.6725 0.2128 0.0415  1 Ni 1.81
F 0.6725 0.2872 0.5415  1 Ni 1.81
F 0.7880 0.6137 0.5143  1 Ni 1.80
F 0.7880 0.8863 0.0143  1 Ni 1.80